FeCuF: optimized geometry, PBE+U.

CIF file:
```
data_FeCuF
_cell_length_a 5.053
_cell_length_b 2.809
_cell_length_c 5.909
_cell_angle_alpha 90.00
_cell_angle_beta 108.00
_cell_angle_gamma 90.00
_space_group_name_H-M_alt 'P 1 21/m 1'
_space_group_IT_number 11
_space_group_name_Hall '-P 2yb'
loop_
_atom_site_label
_atom_site_fract_x
_atom_site_fract_y
_atom_site_fract_z
Fe1 0.006 0.250 0.233
Cu1 0.409 0.750 0.127
F1 0.223 0.750 0.518
```

Calculated values
Its density of states at the Fermi level is 0.25 states/eV per atom. Its distance to the lowest polymorph of the same formula is 203 meV/atom. Its volume is 79.7 Å³ per cell. Its total magnetization is 7.57 μB/cell.